1.
Compound: CeSm4Se5
Source: Alexandria via LeMat-Bulk
Functional: PBE-GGA
Structure: relaxed

Lattice parameters (Å, degrees): 13.9066 4.1683 10.2479 90.00 119.69 90.00
Space group C2/m (No. 12)
Unique sites:
Ce (0.0000, 0.0000, 0.0000) (multiplicity 2)
Sm (0.1000, 0.5000, 0.3995) (multiplicity 4)
Sm (0.2001, 0.0000, 0.8008) (multiplicity 4)
Se (0.0000, 0.0000, 0.5000) (multiplicity 2)
Se (0.1004, 0.5000, 0.8989) (multiplicity 4)
Se (0.2011, 0.0000, 0.3017) (multiplicity 4)

Output
E_form (uncorrected), meV per atom: -1823

2.
Compound: PrTm5
Source: Alexandria via LeMat-Bulk
Functional: PBE-GGA
Structure: relaxed

Lattice parameters (Å, degrees): 6.1005 10.5581 6.1055 90.00 109.36 90.00
Space group P2_1/m (No. 11)
Unique sites:
Pr (0.2500, 0.2500, 0.0005) (multiplicity 2)
Tm (0.2501, 0.0825, 0.5002) (multiplicity 4)
Tm (0.2500, 0.5829, 0.9999) (multiplicity 4)
Tm (0.2498, 0.7500, 0.4998) (multiplicity 2)

Output
Energy of formation from the pure elements, eV/f.u.: 0.2

3.
Compound: ThTiN
Source: Alexandria via LeMat-Bulk
Functional: PBE-GGA
Structure: relaxed

Lattice parameters (Å, degrees): 3.0668 3.0668 5.2366 90.00 90.00 90.00
Space group P4/mmm (No. 123)
Unique sites:
Th (0.0000, 0.0000, 0.0000) (multiplicity 1)
Ti (0.5000, 0.5000, 0.5000) (multiplicity 1)
N (0.0000, 0.0000, 0.5000) (multiplicity 1)

Output
E_form (uncorrected), meV per atom: -898

4.
Compound: K2PH4
Source: Alexandria via LeMat-Bulk
Functional: PBE-GGA
Structure: relaxed

Lattice parameters (Å, degrees): 5.3764 5.3764 8.1195 90.00 90.00 90.00
Space group I4/mmm (No. 139)
Unique sites:
K (0.0000, 0.5000, 0.2500) (multiplicity 4)
P (0.0000, 0.0000, 0.0000) (multiplicity 2)
H (0.2079, 0.2079, 0.0000) (multiplicity 8)

Output
Uncorrected energy, eV per cell: -42.49